(1)
Density functional theory data (PBE) for a geometry-optimized GdTmScPt structure.

Cell: 7.1779 7.1779 7.1779 Å, 90.00 90.00 90.00°
With the nearest neighbours (Å) after each atom.
Space group F-43m (No. 216)
One atom of each set of equivalent atoms:
Gd 0.0000 0.0000 0.0000 [4 per cell]  4 Pt 3.11, 4 Sc 3.11
Tm 0.0000 0.0000 0.5000 [4 per cell]  4 Sc 3.11, 4 Pt 3.11
Sc 0.2500 0.2500 0.7500 [4 per cell]  4 Gd 3.11, 4 Tm 3.11
Pt 0.2500 0.2500 0.2500 [4 per cell]  4 Tm 3.11, 4 Gd 3.11

ΔH_f (0 K) = -1.569 eV/f.u.

(2)
Density functional theory data (PBE) for a geometry-optimized BeAl2Ir structure.

Cell: 2.8472 2.8472 23.8129 Å, 90.00 90.00 120.00°
With the nearest neighbours (Å) after each atom.
Space group R-3m (No. 166, hexagonal axes)
One atom of each set of equivalent atoms:
Be 0.0000 0.0000 0.0000 [3 per cell]  6 Al 2.56, 6 Be 2.85
Al 0.0000 0.0000 0.2509 [6 per cell]  3 Be 2.56, 3 Ir 2.59, 6 Al 2.85
Ir 0.0000 0.0000 0.5000 [3 per cell]  6 Al 2.59, 6 Ir 2.85

ΔH_f (0 K) = -0.734 eV/f.u.

(3)
Density functional theory data (PBE) for a geometry-optimized BaAsN2 structure.

Cell: 6.0708 6.0708 7.7908 Å, 90.00 90.00 90.00°
With the nearest neighbours (Å) after each atom.
Space group I-42d (No. 122)
One atom of each set of equivalent atoms:
Ba 0.0000 0.0000 0.0000 [4 per cell]  4 N 2.84
As 0.0000 0.0000 0.5000 [4 per cell]  4 N 1.99
N 0.1377 0.2500 0.6250 [8 per cell]  2 As 1.99

(4)
Density functional theory data (PBE) for a geometry-optimized LaGaPt2 structure.

Cell: 7.5998 7.1282 5.9427 Å, 90.00 90.00 90.00°
With the nearest neighbours (Å) after each atom.
Space group Pnma (No. 62)
One atom of each set of equivalent atoms:
La 0.0282 0.2500 0.1499 [4 per cell]  8 Pt 3.11-3.31, 3 Ga 3.18-3.20
Ga 0.1220 0.7500 0.3511 [4 per cell]  6 Pt 2.60-2.72
Pt 0.1796 0.0526 0.5837 [8 per cell]  3 Ga 2.60-2.72, 1 Pt 2.81

ΔH_f (0 K) = -4.166 eV/f.u.

| no. | total DFT energy (no corrections) (eV/atom) |
| --- | --- |
| 1 | -8.123 |
| 2 | -5.202 |
| 3 | -5.744 |
| 4 | -6.050 |